DFT (PBE+U) results for an optimized crystal structure of VZn2O2.

Unit cell a=6.980 b=6.980 c=2.921 alpha=90.00 beta=90.00 gamma=90.00
Fractional coordinates of all 10 atoms:
V  0.000  0.000  0.000
V  0.500  0.500  0.000
Zn  0.118  0.382  0.000
Zn  0.382  0.882  0.000
Zn  0.618  0.118  0.000
Zn  0.882  0.618  0.000
O  0.249  0.749  0.500
O  0.251  0.249  0.500
O  0.749  0.751  0.500
O  0.751  0.251  0.500

Summary:
Its total energy is -20.44 eV per formula unit. The value obtained for the density of states at the Fermi level is 0.413 states/eV per atom.